No. 1
# Zr2AgSn

A relaxed structure of Zr2AgSn (PBE-GGA, Alexandria).

Cell: 3.131 3.131 8.630 Å, 90.00 90.00 90.00°
Positions (direct):
Zr1 0.000 0.000 0.243
Zr2 0.000 0.000 0.757
Ag1 0.500 0.500 0.000
Sn1 0.500 0.500 0.500

**Volume**: 84.6 Å³/cell
**Energy of formation**: -215 meV/atom



No. 2
# HgAsOsPd2

A relaxed structure of HgAsOsPd2 (PBE-GGA, Alexandria).

Cell: 4.993 4.993 4.584 Å, 90.00 90.00 90.00°
Positions (direct):
Hg1 0.000 0.000 0.000
As1 0.500 0.500 0.000
Os1 0.500 0.500 0.500
Pd1 0.000 0.500 0.500
Pd2 0.500 0.000 0.500

**Volume**: 114.3 Å³/cell
**Energy of formation**: 807 meV/atom



No. 3
# ReSbRu2

A relaxed structure of ReSbRu2 (PBE-GGA, Alexandria).

Cell: 2.973 2.973 7.197 Å, 90.00 90.00 90.00°
Positions (direct):
Re1 0.000 0.000 0.000
Sb1 0.500 0.500 0.721
Ru1 0.000 0.000 0.487
Ru2 0.500 0.500 0.223

**Volume**: 63.6 Å³/cell
**Formation energy without anion corrections**: 0.367 eV per atom



No. 4
# SnI2O2

A relaxed structure of SnI2O2 (PBE-GGA, Alexandria).

Cell: 4.260 4.260 7.265 Å, 90.00 90.00 90.00°
Positions (direct):
Sn1 0.000 0.000 0.000
I1 0.500 0.500 0.000
I2 0.500 0.500 0.500
O1 0.000 0.500 0.500
O2 0.500 0.000 0.500

**Volume**: 131.8 Å³/cell
**ΔE to the lowest computed polymorph**: 409 meV per atom
**Formation energy without anion corrections**: 0.173 eV per atom



No. 5
# V2Fe7Ge2Ir

A relaxed structure of V2Fe7Ge2Ir (PBE-GGA, Alexandria).

Cell: 3.604 3.604 11.749 Å, 90.00 90.00 90.26°
Positions (direct):
V1 0.000 0.000 0.178
V2 0.000 0.000 0.822
Fe1 0.000 0.000 0.500
Fe2 0.000 0.500 0.343
Fe3 0.000 0.500 0.657
Fe4 0.261 0.739 0.000
Fe5 0.500 0.000 0.343
Fe6 0.500 0.000 0.657
Fe7 0.739 0.261 0.000
Ge1 0.500 0.500 0.193
Ge2 0.500 0.500 0.807
Ir1 0.500 0.500 0.500

**Volume**: 152.6 Å³/cell
**Energy of formation**: 16 meV/atom



No. 6
# Li2SnBiCl8

A relaxed structure of Li2SnBiCl8 (PBE-GGA, Alexandria).

Cell: 6.354 7.977 6.459 Å, 90.00 97.02 90.00°
Positions (direct):
Li1 0.000 0.248 0.000
Li2 0.000 0.752 0.000
Sn1 0.500 0.500 0.500
Bi1 0.500 0.000 0.500
Cl1 0.196 0.500 0.184
Cl2 0.197 0.000 0.171
Cl3 0.295 0.256 0.682
Cl4 0.295 0.744 0.682
Cl5 0.705 0.256 0.318
Cl6 0.705 0.744 0.318
Cl7 0.803 0.000 0.829
Cl8 0.804 0.500 0.816

**Volume**: 324.9 Å³/cell
**Formation energy without anion corrections**: -1.185 eV per atom



No. 7
# TlPtAu

A relaxed structure of TlPtAu (PBE-GGA, Alexandria).

Cell: 5.357 5.357 5.357 Å, 147.28 135.47 56.35°
Positions (direct):
Tl1 0.000 0.000 0.000
Pt1 0.664 0.664 0.000
Au1 0.321 0.321 0.000

**Volume**: 57.9 Å³/cell
**ΔE to the lowest computed polymorph**: 95 meV per atom
**Energy of formation**: 133 meV/atom



No. 8
# ScTa2Co2

A relaxed structure of ScTa2Co2 (PBE-GGA, Alexandria).

Cell: 7.577 7.577 2.756 Å, 90.00 90.00 90.00°
Positions (direct):
Sc1 0.000 0.000 0.000
Sc2 0.500 0.500 0.000
Ta1 0.145 0.355 0.000
Ta2 0.355 0.855 0.000
Ta3 0.645 0.145 0.000
Ta4 0.855 0.645 0.000
Co1 0.148 0.648 0.500
Co2 0.352 0.148 0.500
Co3 0.648 0.852 0.500
Co4 0.852 0.352 0.500

**Volume**: 158.2 Å³/cell
**ΔE to the lowest computed polymorph**: 132 meV per atom
**Energy of formation**: 0 meV/atom